Entry 1:
TcNiPt (SCAN, PBEsol geometry); space group = Imm2; calculated formation energy = -0.150 eV/atom
1.0
-1.331 1.867 3.939
1.331 -1.867 3.939
1.331 1.867 -3.939
Tc Ni Pt
1 1 1
direct
0.000 0.000 0.000
0.343 0.343 0.000
0.672 0.672 0.000


Entry 2:
TcNiPt2 (SCAN, PBEsol geometry); space group = P4/mmm; calculated formation energy = 0.009 eV/atom
1.0
3.788 0.000 0.000
0.000 3.788 0.000
0.000 0.000 3.796
Tc Ni Pt
1 1 2
direct
0.000 0.000 0.000
0.500 0.500 0.000
0.000 0.500 0.500
0.500 0.000 0.500


Entry 3:
TcNiPt2 (SCAN, PBEsol geometry); space group = P4/mmm; calculated formation energy = -0.202 eV/atom
1.0
2.688 0.000 0.000
0.000 2.688 0.000
0.000 0.000 7.486
Tc Ni Pt
1 1 2
direct
0.000 0.000 0.000
0.000 0.000 0.500
0.500 0.500 0.256
0.500 0.500 0.744


Entry 4:
TcNiPt2 (SCAN, PBEsol geometry); space group = C2/m; calculated formation energy = -0.076 eV/atom
1.0
4.440 -1.342 0.000
4.440 1.342 0.000
-0.806 0.000 4.566
Tc Ni Pt
1 1 2
direct
0.000 0.000 0.000
0.500 0.500 0.500
0.249 0.249 0.749
0.751 0.751 0.251


Entry 5:
TcNiPt2 (SCAN, PBEsol geometry); space group = Pmmm; calculated formation energy = -0.168 eV/atom
1.0
2.692 0.000 0.000
0.000 3.808 0.000
0.000 0.000 5.287
Tc Ni Pt
1 1 2
direct
0.000 0.000 0.000
0.000 0.000 0.500
0.500 0.500 0.252
0.500 0.500 0.748


Entry 6:
TcNiPt2 (SCAN, PBEsol geometry); space group = P4mm; calculated formation energy = -0.131 eV/atom
1.0
2.685 0.000 0.000
0.000 2.685 0.000
0.000 0.000 7.502
Tc Ni Pt
1 1 2
direct
0.000 0.000 0.000
0.500 0.500 0.224
0.000 0.000 0.464
0.500 0.500 0.743


Entry 7:
TcNiPt2 (SCAN, PBEsol geometry); space group = I-4m2; calculated formation energy = -0.110 eV/atom
1.0
-1.880 1.880 3.840
1.880 -1.880 3.840
1.880 1.880 -3.840
Tc Ni Pt
1 1 2
direct
0.000 0.000 0.000
0.750 0.250 0.500
0.250 0.750 0.500
0.500 0.500 0.000


Entry 8:
TcNiPt2 (SCAN, PBEsol geometry); space group = Cm; calculated formation energy = -0.139 eV/atom
1.0
4.427 -1.341 0.000
4.427 1.341 0.000
-0.809 0.000 4.583
Tc Ni Pt
1 1 2
direct
0.000 0.000 0.000
0.257 0.257 0.752
0.508 0.508 0.515
0.751 0.751 0.231


Entry 9:
Ni2TePt (SCAN, PBEsol geometry); raw formation energy = 0.13 eV/atom; space group = F-43m
1.0
0.000 3.068 3.068
3.068 0.000 3.068
3.068 3.068 0.000
Ni Te Pt
2 1 1
direct
0.000 0.000 0.000
0.250 0.250 0.250
0.500 0.500 0.500
0.750 0.750 0.750


Entry 10:
NiTePt2 (SCAN, PBEsol geometry); raw formation energy = 0.05 eV/atom; space group = Cm
1.0
4.015 -1.799 0.000
4.015 1.799 0.000
-1.485 0.000 4.447
Ni Te Pt
1 1 2
direct
0.000 0.000 0.000
0.747 0.747 0.225
0.257 0.257 0.789
0.502 0.502 0.507


Entry 11:
Ni2TePt (SCAN, PBEsol geometry); raw formation energy = 0.09 eV/atom; space group = R3m
1.0
1.946 1.123 4.627
-1.946 1.123 4.627
0.000 -2.247 4.627
Ni Te Pt
2 1 1
direct
0.000 0.000 0.000
0.290 0.290 0.290
0.528 0.528 0.528
0.747 0.747 0.747


Entry 12:
NiTe2Pt (SCAN, PBEsol geometry); raw formation energy = 0.24 eV/atom; space group = Cmmm
1.0
3.113 -3.419 0.000
3.113 3.419 0.000
0.000 0.000 3.477
Ni Te Pt
1 2 1
direct
0.000 0.000 0.000
0.000 0.500 0.500
0.500 0.000 0.500
0.500 0.500 0.000


Entry 13:
Ni3TePt (SCAN, PBEsol geometry); raw formation energy = 0.92 eV/atom; space group = Pm-3m
1.0
4.539 0.000 0.000
0.000 4.539 0.000
0.000 0.000 4.539
Ni Te Pt
3 1 1
direct
0.000 0.000 0.500
0.000 0.500 0.000
0.500 0.000 0.000
0.500 0.500 0.500
0.000 0.000 0.000


Entry 14:
NiTe2Pt (SCAN, PBEsol geometry); raw formation energy = 0.06 eV/atom; space group = R-3m
1.0
1.967 1.136 7.538
-1.967 1.136 7.538
0.000 -2.271 7.538
Ni Te Pt
1 2 1
direct
0.000 0.000 0.000
0.104 0.104 0.104
0.896 0.896 0.896
0.500 0.500 0.500


Entry 15:
NiTePt2 (SCAN, PBEsol geometry); raw formation energy = 0.11 eV/atom; space group = F-43m
1.0
0.000 3.156 3.156
3.156 0.000 3.156
3.156 3.156 0.000
Ni Te Pt
1 1 2
direct
0.000 0.000 0.000
0.750 0.750 0.750
0.250 0.250 0.250
0.500 0.500 0.500